Entry 1:
This record from Alexandria describes a geometry-optimized Cr3CoBi structure. The functional is PBE-GGA.

Properties
ΔE_f, meV/atom: 1941
Symmetry: No. 221
M_tot, μB per atom: 3.180
E above lowest polymorph, kJ per mole of atoms: 97.4
Uncorrected energy, eV/atom: -6.030

abc: 5.283 5.283 5.283
angles: 90.00 90.00 90.00
Element x y z (fractional)
1 Cr 0.000 0.000 0.500
2 Cr 0.000 0.500 0.000
3 Cr 0.500 0.000 0.000
4 Co 0.500 0.500 0.500
5 Bi 0.000 0.000 0.000



Entry 2:
This record from Alexandria describes a geometry-optimized CrCoBi3 structure. The functional is PBE-GGA.

Properties
ΔE_f, meV/atom: 1058
Symmetry: No. 221
M_tot, μB per atom: 0.385
E above lowest polymorph, kJ per mole of atoms: 0.0
Uncorrected energy, eV/atom: -4.616

abc: 5.143 5.143 5.143
angles: 90.00 90.00 90.00
Element x y z (fractional)
1 Cr 0.000 0.000 0.000
2 Co 0.500 0.500 0.500
3 Bi 0.000 0.000 0.500
4 Bi 0.000 0.500 0.000
5 Bi 0.500 0.000 0.000



Entry 3:
This record from Alexandria describes a geometry-optimized Cr2CoCuBi structure. The functional is PBE-GGA.

Properties
ΔE_f, meV/atom: 1051
Symmetry: No. 123
M_tot, μB per atom: 1.479
Uncorrected energy, eV/atom: -5.815

abc: 4.570 4.570 4.817
angles: 90.00 90.00 90.00
Element x y z (fractional)
1 Cr 0.000 0.500 0.000
2 Cr 0.500 0.000 0.000
3 Co 0.000 0.000 0.000
4 Cu 0.500 0.500 0.500
5 Bi 0.000 0.000 0.500



Entry 4:
This record from Alexandria describes a geometry-optimized CrCoBiIr2 structure. The functional is PBE-GGA.

Properties
ΔE_f, meV/atom: 2428
Symmetry: No. 123
M_tot, μB per atom: 0.083
Uncorrected energy, eV/atom: -5.239

abc: 4.954 4.954 4.598
angles: 90.00 90.00 90.00
Element x y z (fractional)
1 Cr 0.000 0.000 0.000
2 Co 0.500 0.500 0.000
3 Bi 0.500 0.500 0.500
4 Ir 0.000 0.500 0.500
5 Ir 0.500 0.000 0.500



Entry 5:
This record from Alexandria describes a geometry-optimized CrCoBi2N structure. The functional is PBE-GGA.

Properties
Uncorrected formation energy, meV per atom: 548
Symmetry: No. 123
M_tot, μB per atom: 0.767
Uncorrected energy, eV/atom: -6.015

abc: 5.084 5.084 3.676
angles: 90.00 90.00 90.00
Element x y z (fractional)
1 Cr 0.000 0.000 0.000
2 Co 0.500 0.500 0.000
3 Bi 0.000 0.500 0.500
4 Bi 0.500 0.000 0.500
5 N 0.000 0.000 0.500



Entry 6:
This record from Alexandria describes a geometry-optimized CrCoRe2Bi structure. The functional is PBE-GGA.

Properties
ΔE_f, meV/atom: 1918
Symmetry: No. 123
M_tot, μB per atom: 0.024
Uncorrected energy, eV/atom: -7.183

abc: 4.450 4.450 4.759
angles: 90.00 90.00 90.00
Element x y z (fractional)
1 Cr 0.000 0.000 0.000
2 Co 0.500 0.500 0.500
3 Re 0.000 0.500 0.500
4 Re 0.500 0.000 0.500
5 Bi 0.500 0.500 0.000



What is the formula in the first record?
Cr3CoBi